1.
Computed, not measured: CrSi2Sb at its PBEsol-relaxed geometry at the meta-GGA SCAN level of DFT.

```
data_CrSi2Sb
_symmetry_space_group_name_H-M 'R -3 m'
_symmetry_Int_Tables_number 166
_symmetry_space_group_name_Hall '-R 3 2"'
_cell_length_a 3.0343
_cell_length_b 3.0343
_cell_length_c 24.7213
_cell_angle_alpha 90.00
_cell_angle_beta 90.00
_cell_angle_gamma 120.00
loop_
_atom_site_label
_atom_site_type_symbol
_atom_site_fract_x
_atom_site_fract_y
_atom_site_fract_z
Cr1 Cr 0.0000 0.0000 0.0000
Si1 Si 0.0000 0.0000 0.2680
Sb1 Sb 0.0000 0.0000 0.5000
```

Properties
Formation energy (no corrections): 441.1 meV/atom
Volume: 16.426 A^3/atom



2.
Computed, not measured: Cr2Si2Sb at its PBEsol-relaxed geometry at the meta-GGA SCAN level of DFT.

```
data_Cr2Si2Sb
_symmetry_space_group_name_H-M 'I 4/m m m'
_symmetry_Int_Tables_number 139
_symmetry_space_group_name_Hall '-I 4 2'
_cell_length_a 3.3764
_cell_length_b 3.3764
_cell_length_c 12.4492
_cell_angle_alpha 90.00
_cell_angle_beta 90.00
_cell_angle_gamma 90.00
loop_
_atom_site_label
_atom_site_type_symbol
_atom_site_fract_x
_atom_site_fract_y
_atom_site_fract_z
Cr1 Cr 0.0000 0.0000 0.1104
Si1 Si 0.0000 0.5000 0.2500
Sb1 Sb 0.0000 0.0000 0.5000
```

Properties
Formation energy (no corrections): 44.6 meV/atom
Volume: 14.192 A^3/atom



3.
Computed, not measured: SmCrSb3 at its PBEsol-relaxed geometry at the meta-GGA SCAN level of DFT.

```
data_SmCrSb3
_symmetry_space_group_name_H-M 'P b c m'
_symmetry_Int_Tables_number 57
_symmetry_space_group_name_Hall '-P 2c 2b'
_cell_length_a 12.7560
_cell_length_b 6.1514
_cell_length_c 5.9388
_cell_angle_alpha 90.00
_cell_angle_beta 90.00
_cell_angle_gamma 90.00
loop_
_atom_site_label
_atom_site_type_symbol
_atom_site_fract_x
_atom_site_fract_y
_atom_site_fract_z
Sm1 Sm 0.1917 0.0038 0.2500
Cr1 Cr 0.4050 0.7500 0.0000
Sb1 Sb 0.0018 0.7500 0.0000
Sb2 Sb 0.2784 0.0019 0.7500
Sb3 Sb 0.4373 0.1012 0.2500
```

Properties
Formation energy (no corrections): -562.9 meV/atom
Volume: 23.300 A^3/atom



4.
Computed, not measured: SrCrSb at its PBEsol-relaxed geometry at the meta-GGA SCAN level of DFT.

```
data_SrCrSb
_symmetry_space_group_name_H-M 'I 4 m m'
_symmetry_Int_Tables_number 107
_symmetry_space_group_name_Hall 'I 4 -2'
_cell_length_a 3.7100
_cell_length_b 3.7100
_cell_length_c 11.4571
_cell_angle_alpha 90.00
_cell_angle_beta 90.00
_cell_angle_gamma 90.00
loop_
_atom_site_label
_atom_site_type_symbol
_atom_site_fract_x
_atom_site_fract_y
_atom_site_fract_z
Sr1 Sr 0.0000 0.0000 0.0000
Cr1 Cr 0.0000 0.0000 0.7173
Sb1 Sb 0.0000 0.0000 0.2968
```

Properties
Formation energy (no corrections): -198.5 meV/atom
Volume: 26.283 A^3/atom